(1)
# LaSm6Y2Er3

An optimized crystal structure of LaSm6Y2Er3 (GGA-PBE, Alexandria via LeMat-Bulk).

CIF file:
```
data_LaSm6Y2Er3
_chemical_formula_sum 'La2 Sm12 Y4 Er6'
_space_group_name_H-M_alt 'C 1 2/m 1'
_space_group_IT_number 12
_cell_length_a 6.239
_cell_length_b 10.807
_cell_length_c 11.907
_cell_angle_alpha 90.00
_cell_angle_beta 100.06
_cell_angle_gamma 90.00
loop_
_space_group_symop_operation_xyz
'x,y,z'
'-x,-y,-z'
'-x,y,-z'
'x,-y,z'
'x+1/2,y+1/2,z'
'-x+1/2,-y+1/2,-z'
'-x+1/2,y+1/2,-z'
'x+1/2,-y+1/2,z'
loop_
_atom_site_label
_atom_site_type_symbol
_atom_site_fract_x
_atom_site_fract_y
_atom_site_fract_z
_atom_site_occupancy
La1 La 0.000 0.000 0.000 1
Sm1 Sm 0.248 0.333 0.746 1
Sm2 Sm 0.249 0.000 0.746 1
Y1 Y 0.000 0.333 0.000 1
Er1 Er 0.000 0.167 0.500 1
Er2 Er 0.000 0.500 0.500 1
```

Computed properties:
M_tot in μB per formula unit: 0.0
Crystal system: monoclinic
Formation energy in eV/atom: 0.0200



(2)
# La2Sm6Y3Er

An optimized crystal structure of La2Sm6Y3Er (GGA-PBE, Alexandria via LeMat-Bulk).

CIF file:
```
data_La2Sm6Y3Er
_chemical_formula_sum 'La4 Sm12 Y6 Er2'
_space_group_name_H-M_alt 'C 1 2/m 1'
_space_group_IT_number 12
_cell_length_a 6.281
_cell_length_b 10.882
_cell_length_c 12.013
_cell_angle_alpha 90.00
_cell_angle_beta 100.06
_cell_angle_gamma 90.00
loop_
_space_group_symop_operation_xyz
'x,y,z'
'-x,-y,-z'
'-x,y,-z'
'x,-y,z'
'x+1/2,y+1/2,z'
'-x+1/2,-y+1/2,-z'
'-x+1/2,y+1/2,-z'
'x+1/2,-y+1/2,z'
loop_
_atom_site_label
_atom_site_type_symbol
_atom_site_fract_x
_atom_site_fract_y
_atom_site_fract_z
_atom_site_occupancy
La1 La 0.000 0.167 0.000 1
Sm1 Sm 0.247 0.500 0.747 1
Sm2 Sm 0.249 0.166 0.747 1
Y1 Y 0.000 0.000 0.500 1
Y2 Y 0.000 0.334 0.500 1
Er1 Er 0.000 0.500 0.000 1
```

Computed properties:
M_tot in μB per formula unit: 0.0
Crystal system: monoclinic
Formation energy in eV/atom: 0.0193



(3)
# LaSmY5Er2

An optimized crystal structure of LaSmY5Er2 (GGA-PBE, Alexandria via LeMat-Bulk).

CIF file:
```
data_LaSmY5Er2
_chemical_formula_sum 'La4 Sm4 Y20 Er8'
_space_group_name_H-M_alt 'I 4/m c m'
_space_group_IT_number 140
_space_group_name_Hall '-I 4 2c'
_cell_length_a 8.926
_cell_length_b 8.926
_cell_length_c 15.035
_cell_angle_alpha 90.00
_cell_angle_beta 90.00
_cell_angle_gamma 90.00
loop_
_atom_site_label
_atom_site_type_symbol
_atom_site_fract_x
_atom_site_fract_y
_atom_site_fract_z
_atom_site_occupancy
La1 La 0.000 0.000 0.250 1
Sm1 Sm 0.000 0.500 0.250 1
Y1 Y 0.000 0.000 0.000 1
Y2 Y 0.202 0.298 0.130 1
Er1 Er 0.114 0.386 0.500 1
```

Computed properties:
M_tot in μB per formula unit: 0.0
Crystal system: tetragonal
Formation energy in eV/atom: 0.2690



(4)
# LaSm2Y6Er3

An optimized crystal structure of LaSm2Y6Er3 (GGA-PBE, Alexandria via LeMat-Bulk).

CIF file:
```
data_LaSm2Y6Er3
_chemical_formula_sum 'La2 Sm4 Y12 Er6'
_space_group_name_H-M_alt 'C 1 2/m 1'
_space_group_IT_number 12
_cell_length_a 6.208
_cell_length_b 10.747
_cell_length_c 11.847
_cell_angle_alpha 90.00
_cell_angle_beta 100.03
_cell_angle_gamma 90.00
loop_
_space_group_symop_operation_xyz
'x,y,z'
'-x,-y,-z'
'-x,y,-z'
'x,-y,z'
'x+1/2,y+1/2,z'
'-x+1/2,-y+1/2,-z'
'-x+1/2,y+1/2,-z'
'x+1/2,-y+1/2,z'
loop_
_atom_site_label
_atom_site_type_symbol
_atom_site_fract_x
_atom_site_fract_y
_atom_site_fract_z
_atom_site_occupancy
La1 La 0.000 0.000 0.000 1
Sm1 Sm 0.000 0.333 0.000 1
Y1 Y 0.248 0.333 0.746 1
Y2 Y 0.249 0.000 0.746 1
Er1 Er 0.000 0.167 0.500 1
Er2 Er 0.000 0.500 0.500 1
```

Computed properties:
M_tot in μB per formula unit: 0.0
Crystal system: monoclinic
Formation energy in eV/atom: 0.0231



(5)
# La3SmY6Er2

An optimized crystal structure of La3SmY6Er2 (GGA-PBE, Alexandria via LeMat-Bulk).

CIF file:
```
data_La3SmY6Er2
_chemical_formula_sum 'La6 Sm2 Y12 Er4'
_space_group_name_H-M_alt 'C 1 2/m 1'
_space_group_IT_number 12
_cell_length_a 6.258
_cell_length_b 10.839
_cell_length_c 11.912
_cell_angle_alpha 90.00
_cell_angle_beta 100.08
_cell_angle_gamma 90.00
loop_
_space_group_symop_operation_xyz
'x,y,z'
'-x,-y,-z'
'-x,y,-z'
'x,-y,z'
'x+1/2,y+1/2,z'
'-x+1/2,-y+1/2,-z'
'-x+1/2,y+1/2,-z'
'x+1/2,-y+1/2,z'
loop_
_atom_site_label
_atom_site_type_symbol
_atom_site_fract_x
_atom_site_fract_y
_atom_site_fract_z
_atom_site_occupancy
La1 La 0.000 0.000 0.000 1
La2 La 0.000 0.333 0.000 1
Sm1 Sm 0.000 0.500 0.500 1
Y1 Y 0.248 0.000 0.745 1
Y2 Y 0.248 0.333 0.745 1
Er1 Er 0.000 0.167 0.500 1
```

Computed properties:
M_tot in μB per formula unit: 0.0
Crystal system: monoclinic
Formation energy in eV/atom: 0.0204



(6)
# La5SmYEr2

An optimized crystal structure of La5SmYEr2 (GGA-PBE, Alexandria via LeMat-Bulk).

CIF file:
```
data_La5SmYEr2
_chemical_formula_sum 'La20 Sm4 Y4 Er8'
_space_group_name_H-M_alt 'C m c 21'
_space_group_IT_number 36
_cell_length_a 5.503
_cell_length_b 21.790
_cell_length_c 10.669
_cell_angle_alpha 90.00
_cell_angle_beta 90.00
_cell_angle_gamma 90.00
loop_
_space_group_symop_operation_xyz
'x,y,z'
'-x,-y,z+1/2'
'-x,y,z'
'x,-y,z+1/2'
'x+1/2,y+1/2,z'
'-x+1/2,-y+1/2,z+1/2'
'-x+1/2,y+1/2,z'
'x+1/2,-y+1/2,z+1/2'
loop_
_atom_site_label
_atom_site_type_symbol
_atom_site_fract_x
_atom_site_fract_y
_atom_site_fract_z
_atom_site_occupancy
La1 La 0.000 0.000 0.000 1
La2 La 0.000 0.123 0.250 1
La3 La 0.000 0.221 0.559 1
La4 La 0.000 0.221 0.940 1
La5 La 0.000 0.500 0.250 1
Sm1 Sm 0.000 0.286 0.249 1
Y1 Y 0.000 0.100 0.750 1
Er1 Er 0.000 0.387 0.002 1
Er2 Er 0.000 0.387 0.498 1
```

Computed properties:
M_tot in μB per formula unit: 0.0
Crystal system: orthorhombic
Formation energy in eV/atom: 0.1295



(7)
# LaSmErZr

An optimized crystal structure of LaSmErZr (GGA-PBE, Alexandria via LeMat-Bulk).

CIF file:
```
data_LaSmErZr
_chemical_formula_sum 'La4 Sm4 Er4 Zr4'
_space_group_name_H-M_alt 'F -4 3 m'
_space_group_IT_number 216
_space_group_name_Hall 'F -4 2 3'
_cell_length_a 7.836
_cell_length_b 7.836
_cell_length_c 7.836
_cell_angle_alpha 90.00
_cell_angle_beta 90.00
_cell_angle_gamma 90.00
loop_
_atom_site_label
_atom_site_type_symbol
_atom_site_fract_x
_atom_site_fract_y
_atom_site_fract_z
_atom_site_occupancy
La1 La 0.000 0.000 0.000 1
Sm1 Sm 0.000 0.000 0.500 1
Er1 Er 0.250 0.250 0.250 1
Zr1 Zr 0.250 0.250 0.750 1
```

Computed properties:
M_tot in μB per formula unit: 0.3
Crystal system: cubic
Formation energy in eV/atom: 0.2041



(8)
# LaEr2Sn2

An optimized crystal structure of LaEr2Sn2 (GGA-PBE, Alexandria via LeMat-Bulk).

CIF file:
```
data_LaEr2Sn2
_chemical_formula_sum 'La2 Er4 Sn4'
_space_group_name_H-M_alt 'P 1 21/m 1'
_space_group_IT_number 11
_cell_length_a 5.644
_cell_length_b 4.164
_cell_length_c 13.126
_cell_angle_alpha 90.00
_cell_angle_beta 97.06
_cell_angle_gamma 90.00
loop_
_space_group_symop_operation_xyz
'x,y,z'
'-x,-y,-z'
'-x,y+1/2,-z'
'x,-y+1/2,z'
loop_
_atom_site_label
_atom_site_type_symbol
_atom_site_fract_x
_atom_site_fract_y
_atom_site_fract_z
_atom_site_occupancy
La1 La 0.197 0.250 0.246 1
Er1 Er 0.246 0.750 0.473 1
Er2 Er 0.329 0.250 0.891 1
Sn1 Sn 0.166 0.750 0.044 1
Sn2 Sn 0.287 0.250 0.658 1
```

Computed properties:
M_tot in μB per formula unit: 0.1
Crystal system: monoclinic
Formation energy in eV/atom: -0.4610



(9)
# La2ErSn9

An optimized crystal structure of La2ErSn9 (GGA-PBE, Alexandria via LeMat-Bulk).

CIF file:
```
data_La2ErSn9
_chemical_formula_sum 'La2 Er1 Sn9'
_space_group_name_H-M_alt 'P 4/m m m'
_space_group_IT_number 123
_space_group_name_Hall '-P 4 2'
_cell_length_a 4.809
_cell_length_b 4.809
_cell_length_c 14.096
_cell_angle_alpha 90.00
_cell_angle_beta 90.00
_cell_angle_gamma 90.00
loop_
_atom_site_label
_atom_site_type_symbol
_atom_site_fract_x
_atom_site_fract_y
_atom_site_fract_z
_atom_site_occupancy
La1 La 0.000 0.000 0.170 1
Er1 Er 0.000 0.000 0.500 1
Sn1 Sn 0.000 0.500 0.000 1
Sn2 Sn 0.000 0.500 0.340 1
Sn3 Sn 0.500 0.500 0.170 1
Sn4 Sn 0.500 0.500 0.500 1
```

Computed properties:
M_tot in μB per formula unit: 0.0
Crystal system: tetragonal
Formation energy in eV/atom: -0.5160



(10)
# La3Er2Sn4

An optimized crystal structure of La3Er2Sn4 (GGA-PBE, Alexandria via LeMat-Bulk).

CIF file:
```
data_La3Er2Sn4
_chemical_formula_sum 'La6 Er4 Sn8'
_space_group_name_H-M_alt 'C 1 2/m 1'
_space_group_IT_number 12
_cell_length_a 13.612
_cell_length_b 4.623
_cell_length_c 10.014
_cell_angle_alpha 90.00
_cell_angle_beta 115.03
_cell_angle_gamma 90.00
loop_
_space_group_symop_operation_xyz
'x,y,z'
'-x,-y,-z'
'-x,y,-z'
'x,-y,z'
'x+1/2,y+1/2,z'
'-x+1/2,-y+1/2,-z'
'-x+1/2,y+1/2,-z'
'x+1/2,-y+1/2,z'
loop_
_atom_site_label
_atom_site_type_symbol
_atom_site_fract_x
_atom_site_fract_y
_atom_site_fract_z
_atom_site_occupancy
La1 La 0.000 0.000 0.000 1
La2 La 0.121 0.500 0.698 1
Er1 Er 0.183 0.500 0.350 1
Sn1 Sn 0.072 0.000 0.416 1
Sn2 Sn 0.208 0.500 0.063 1
```

Computed properties:
M_tot in μB per formula unit: 0.0
Crystal system: monoclinic
Formation energy in eV/atom: -0.6567